Entry 1:
A plane-wave DFT calculation with PBE was carried out for BaCuO2 after structural relaxation.

Cell: 6.3795 6.3795 6.3795 Å, 38.56 38.56 38.56°
Atoms (fractional coordinates):
Ba1 0.5000 0.5000 0.5000
Cu1 0.0000 0.0000 0.0000
O1 0.9014 0.9014 0.9014
O2 0.0986 0.0986 0.0986

Properties
volume	22.7	A^3/atom
D(E_F)	1.09	states/eV per atom
uncorrected formation energy	-1550	meV per atom
space-group type	R-3m, No. 166
spin magnetization	0.250	μB/atom



Entry 2:
A plane-wave DFT calculation with PBE was carried out for Ba2CuO after structural relaxation.

Cell: 7.5017 7.5017 7.0426 Å, 57.82 57.82 90.00°
Atoms (fractional coordinates):
O1 0.2500 0.7500 0.5000
Cu1 0.7500 0.2500 0.5000
Ba1 0.3750 0.4514 0.7500
O2 0.5000 0.5000 0.0000
Ba2 0.5486 0.1250 0.2500
Ba3 0.2014 0.6250 0.2500
Cu2 0.0000 0.0000 0.0000
Ba4 0.8750 0.7986 0.7500

Properties
volume	32.6	A^3/atom
D(E_F)	0.61	states/eV per atom
uncorrected formation energy	-1086	meV per atom
space-group type	I-42d, No. 122
spin magnetization	0.000	μB/atom



Entry 3:
A plane-wave DFT calculation with PBE was carried out for Ba2CuO after structural relaxation.

Cell: 5.2336 5.2336 5.2336 Å, 60.00 60.00 60.00°
Atoms (fractional coordinates):
Ba1 0.7500 0.7500 0.7500
Ba2 0.2500 0.2500 0.2500
Cu1 0.5000 0.5000 0.5000
O1 0.0000 0.0000 0.0000

Properties
volume	25.3	A^3/atom
D(E_F)	0.76	states/eV per atom
uncorrected formation energy	-623	meV per atom
space-group type	Fm-3m, No. 225
spin magnetization	0.000	μB/atom



Entry 4:
A plane-wave DFT calculation with PBE was carried out for BaCu3O3 after structural relaxation.

Cell: 7.3796 7.3796 5.9779 Å, 51.89 51.89 60.00°
Atoms (fractional coordinates):
O1 0.6073 0.9062 0.2734
Cu1 0.9028 0.7094 0.2898
Cu2 0.7094 0.0980 0.2898
O2 0.7869 0.3927 0.7266
O3 0.3927 0.0938 0.7266
Cu3 0.0980 0.9028 0.2898
Cu4 0.2906 0.9020 0.7102
O4 0.2131 0.6073 0.2734
Cu5 0.9020 0.0972 0.7102
O5 0.9062 0.2131 0.2734
Cu6 0.0972 0.2906 0.7102
Ba1 0.6601 0.6601 0.0196
O6 0.0938 0.7869 0.7266
Ba2 0.3399 0.3399 0.9804

Properties
volume	14.1	A^3/atom
D(E_F)	0.75	states/eV per atom
uncorrected formation energy	-966	meV per atom
space-group type	R-3, No. 148
spin magnetization	0.001	μB/atom



Entry 5:
A plane-wave DFT calculation with PBE was carried out for Ba4CuO5 after structural relaxation.

Cell: 3.9066 8.0640 7.2455 Å, 86.84 74.36 75.98°
Atoms (fractional coordinates):
O1 0.9066 0.3406 0.8441
O2 0.0913 0.6594 0.1559
Ba1 0.2673 0.3203 0.1430
Ba2 0.7306 0.6797 0.8570
Cu1 0.9990 0.0000 0.0000
Ba3 0.4126 0.8404 0.3323
Ba4 0.5854 0.1596 0.6677
O3 0.8076 0.1019 0.2809
O4 0.4990 0.0000 0.0000
O5 0.1904 0.8981 0.7191

Properties
volume	21.3	A^3/atom
D(E_F)	0.13	states/eV per atom
uncorrected formation energy	-2039	meV per atom
space-group type	C2/m, No. 12
spin magnetization	0.001	μB/atom



Entry 6:
A plane-wave DFT calculation with PBE was carried out for Ba2Cu3O6 after structural relaxation.

Cell: 4.2730 4.2730 11.5096 Å, 89.85 89.85 103.54°
Atoms (fractional coordinates):
Cu1 0.7028 0.2972 0.5000
O1 0.9683 0.5321 0.3902
O2 0.3625 0.6459 0.1513
Cu2 0.2323 0.7677 0.5000
O3 0.3541 0.6375 0.8487
O4 0.4700 0.0338 0.3902
Ba1 0.9759 0.0293 0.2408
Cu3 0.3625 0.6375 0.0000
O5 0.9662 0.5300 0.6098
Ba2 0.9707 0.0241 0.7592
O6 0.4679 0.0317 0.6098

Properties
volume	18.6	A^3/atom
D(E_F)	0.52	states/eV per atom
uncorrected formation energy	-1307	meV per atom
space-group type	C2, No. 5
spin magnetization	0.092	μB/atom



Entry 7:
A plane-wave DFT calculation with PBE was carried out for BaCuO2 after structural relaxation.

Cell: 4.4095 4.4095 4.4095 Å, 60.00 60.00 60.00°
Atoms (fractional coordinates):
O1 0.7500 0.7500 0.7500
Ba1 0.5000 0.5000 0.5000
Cu1 0.0000 0.0000 0.0000
O2 0.2500 0.2500 0.2500

Properties
volume	15.2	A^3/atom
D(E_F)	0.95	states/eV per atom
uncorrected formation energy	-821	meV per atom
space-group type	Fm-3m, No. 225
spin magnetization	0.250	μB/atom



Entry 8:
A plane-wave DFT calculation with PBE was carried out for BaCuO4 after structural relaxation.

Cell: 4.8141 6.3909 6.0942 Å, 103.01 92.14 89.56°
Atoms (fractional coordinates):
O1 0.0756 0.5216 0.8115
O2 0.3217 0.0901 0.8869
Cu1 0.1841 0.6584 0.1042
O3 0.9244 0.4784 0.1885
O4 0.4857 0.7936 0.9831
Cu2 0.8159 0.3416 0.8958
Ba1 0.2389 0.2262 0.4288
Ba2 0.7611 0.7738 0.5712
O5 0.5143 0.2064 0.0169
O6 0.7440 0.2035 0.6072
O7 0.2560 0.7965 0.3928
O8 0.6783 0.9099 0.1131

Properties
volume	15.2	A^3/atom
uncorrected formation energy	-1137	meV per atom
space-group type	P-1, No. 2
spin magnetization	0.000	μB/atom



Entry 9:
A plane-wave DFT calculation with PBE was carried out for BaCuO2 after structural relaxation.

Cell: 5.7457 11.7488 3.7704 Å, 90.00 90.00 90.00°
Atoms (fractional coordinates):
Cu1 0.2506 0.6265 0.9998
O1 0.9991 0.0002 0.0003
O2 0.9793 0.2501 0.0001
O3 0.4794 0.7504 0.0000
Cu2 0.7505 0.3740 0.9998
O4 0.0207 0.7501 0.9999
Ba1 0.2510 0.3877 0.4997
Ba2 0.2490 0.1128 0.5003
O5 0.5008 0.5003 0.9997
O6 0.4992 0.0003 0.0003
Cu3 0.7494 0.1265 0.0002
Cu4 0.2495 0.8740 0.0002
O7 0.0009 0.5002 0.9997
O8 0.5206 0.2504 0.0000
Ba3 0.7510 0.6128 0.4996
Ba4 0.7490 0.8877 0.5003

Properties
volume	15.9	A^3/atom
D(E_F)	0.07	states/eV per atom
uncorrected formation energy	-1530	meV per atom
space-group type	Pbam, No. 55
spin magnetization	0.000	μB/atom



Entry 10:
A plane-wave DFT calculation with PBE was carried out for BaCuO2 after structural relaxation.

Cell: 5.0809 5.0809 6.4721 Å, 66.89 66.89 90.00°
Atoms (fractional coordinates):
O1 0.3750 0.4801 0.7500
O2 0.8750 0.7699 0.7500
Cu1 0.5000 0.5000 0.0000
Cu2 0.2500 0.7500 0.5000
O3 0.2301 0.6250 0.2500
Ba1 0.7500 0.2500 0.5000
Ba2 0.0000 0.0000 0.0000
O4 0.5199 0.1250 0.2500

Properties
volume	17.4	A^3/atom
D(E_F)	0.19	states/eV per atom
uncorrected formation energy	-1370	meV per atom
space-group type	I-42d, No. 122
spin magnetization	0.250	μB/atom